The following is a DFT calculation (GGA-PBE) of a geometry-optimized BaFeRe3 structure.

abc: 4.9027 4.9027 4.9027
angles: 90.00 90.00 90.00
Closest atoms and distances in Å follow each position.
Fractional positions:
Re (0.5000, 0.0000, 0.0000)  2 Ba 2.45
Re (0.0000, 0.5000, 0.0000)  2 Ba 2.45
Re (0.0000, 0.0000, 0.5000)  2 Ba 2.45
Ba (0.0000, 0.0000, 0.0000)  6 Re 2.45
Fe (0.5000, 0.5000, 0.5000)  12 Re 3.47

energy relative to the lowest polymorph listed for this composition: 2.8402 eV per atom
formation enthalpy at 0 K: 425 kJ per mole of atoms
M_tot: 0.5 μB/cell